Entry 1:
The following is a DFT calculation (PBE) of a relaxed NdEr2Sn3Ir2Pd crystal.

Properties
density	11.3	g/cm³
volume	21.73	Å³/atom
SG	Amm2 (38)
raw total energy	-6.2620	eV per atom

a = 3.9812 Å, b = 7.5466 Å, c = 7.5466 Å
α = 120.38°, β = 90.00°, γ = 90.00°
Closest atoms and distances in Å follow each position.
Element x y z (fractional)
Nd 0.0000 0.0000 0.0000  4 Ir 3.07, 1 Pd 3.14, 6 Sn 3.16-3.38
Er 0.0000 0.1776 0.5899  4 Ir 2.99-3.01, 1 Pd 3.08, 4 Sn 3.17-3.35
Er 0.0000 0.5899 0.1776  4 Ir 2.99-3.01, 1 Pd 3.08, 4 Sn 3.17-3.35
Sn 0.5000 0.3279 0.3279  2 Pd 2.76, 2 Ir 2.86
Sn 0.5000 0.5869 0.8497  2 Ir 2.76-2.84, 2 Pd 2.82
Sn 0.5000 0.8497 0.5869  2 Ir 2.76-2.84, 2 Pd 2.82
Ir 0.5000 0.2607 0.9190  3 Sn 2.76-2.86, 4 Er 2.99-3.01, 2 Nd 3.07
Ir 0.5000 0.9190 0.2607  3 Sn 2.76-2.86, 4 Er 2.99-3.01, 2 Nd 3.07
Pd 0.0000 0.5821 0.5821  6 Sn 2.76-2.82, 2 Er 3.08



Entry 2:
The following is a DFT calculation (PBE) of a relaxed NdEr2Zn3Ir2Pt crystal.

Properties
density	11.8	g/cm³
volume	19.55	Å³/atom
SG	Amm2 (38)
energy relative to the elements	-0.77	eV/atom
raw total energy	-5.3745	eV per atom

a = 3.9209 Å, b = 7.2148 Å, c = 7.2148 Å
α = 120.46°, β = 90.00°, γ = 90.00°
Closest atoms and distances in Å follow each position.
Element x y z (fractional)
Nd 0.0000 0.0000 0.0000  4 Ir 2.99, 1 Pt 3.01, 6 Zn 3.11-3.26
Er 0.0000 0.4124 0.8201  4 Ir 2.90-2.91, 1 Pt 2.91, 6 Zn 3.15-3.24
Er 0.0000 0.8201 0.4124  4 Ir 2.90-2.91, 1 Pt 2.91, 6 Zn 3.15-3.24
Zn 0.5000 0.1627 0.4158  2 Ir 2.66-2.77, 2 Pt 2.69
Zn 0.5000 0.4158 0.1627  2 Ir 2.66-2.77, 2 Pt 2.69
Zn 0.5000 0.6622 0.6622  2 Pt 2.62, 2 Ir 2.80
Ir 0.5000 0.0828 0.7381  3 Zn 2.66-2.80, 4 Er 2.90-2.91
Ir 0.5000 0.7381 0.0828  3 Zn 2.66-2.80, 4 Er 2.90-2.91
Pt 0.0000 0.4201 0.4201  6 Zn 2.62-2.69, 2 Er 2.91



Entry 3:
The following is a DFT calculation (PBE) of a relaxed NdErZnIr2 crystal.

Properties
density	12.2	g/cm³
volume	20.74	Å³/atom
SG	Imm2 (44)
energy relative to the elements	-0.73	eV/atom
raw total energy	-6.3857	eV per atom

a = 5.5550 Å, b = 5.5550 Å, c = 5.5550 Å
α = 135.53°, β = 116.83°, γ = 80.51°
Closest atoms and distances in Å follow each position.
Element x y z (fractional)
Nd 0.0000 0.0000 0.0000  6 Ir 2.96-3.03, 2 Zn 3.30
Er 0.4028 0.4028 0.0000  6 Ir 2.97-3.03, 2 Zn 3.28
Zn 0.7000 0.2000 0.5000  4 Ir 2.61
Ir 0.4356 0.7020 0.7336  2 Zn 2.61, 1 Ir 2.72
Ir 0.9684 0.7020 0.2664  2 Zn 2.61, 1 Ir 2.72



Entry 4:
The following is a DFT calculation (PBE) of a relaxed Er7Ni2Ir2 crystal.

Properties
density	10.9	g/cm³
volume	23.17	Å³/atom
SG	Imm2 (44)
energy relative to the elements	-0.55	eV/atom
raw total energy	-6.0748	eV per atom

a = 8.7975 Å, b = 8.7975 Å, c = 8.7975 Å
α = 154.64°, β = 67.98°, γ = 118.12°
Closest atoms and distances in Å follow each position.
Element x y z (fractional)
Er 0.0000 0.0000 0.0000  3 Ir 2.78-3.06
Er 0.2850 0.3972 0.8878  2 Ni 2.90, 3 Ir 2.90-2.99
Er 0.2996 0.6109 0.6887  3 Ni 2.74-2.92, 1 Ir 2.93
Er 0.5094 0.3972 0.1122  2 Ni 2.90, 3 Ir 2.90-2.99
Er 0.6042 0.2330 0.3713  2 Ir 2.77, 2 Ni 3.00
Er 0.8617 0.2330 0.6287  2 Ir 2.77, 2 Ni 3.00
Er 0.9222 0.6109 0.3113  3 Ni 2.74-2.92, 1 Ir 2.93
Ni 0.1529 0.9127 0.2401  7 Er 2.74-3.00
Ni 0.6726 0.9127 0.7599  7 Er 2.74-3.00
Ir 0.2207 0.7207 0.5000  8 Er 2.78-2.99
Ir 0.6621 0.6621 0.0000  7 Er 2.77-3.06